1.
A plane-wave DFT calculation with GGA-PBE was carried out for an optimized crystal structure of Nd6ErMg.

Calculated values
Crystal system: tetragonal
ΔE to the lowest computed polymorph (meV/atom): 0.0
Energy of formation from the pure elements (eV per atom): 0.001
Space-group type: P4/mmm

Unit cell a=5.0783 b=5.0783 c=10.2383 alpha=90.00 beta=90.00 gamma=90.00
Last column: nearest neighbours and their distance in Å.
Fractional positions:
Nd  0.5000  0.5000  0.5000  4 Er 3.59, 8 Nd 3.62
Nd  0.0000  0.5000  0.7524  8 Nd 3.59-3.62, 2 Mg 3.59, 2 Er 3.62
Nd  0.5000  0.0000  0.7524  8 Nd 3.59-3.62, 2 Mg 3.59, 2 Er 3.62
Nd  0.5000  0.0000  0.2476  8 Nd 3.59-3.62, 2 Mg 3.59, 2 Er 3.62
Nd  0.0000  0.5000  0.2476  2 Mg 3.59, 8 Nd 3.59-3.62, 2 Er 3.62
Nd  0.5000  0.5000  0.0000  8 Nd 3.59, 4 Mg 3.59
Mg  0.0000  0.0000  0.0000  12 Nd 3.59
Er  0.0000  0.0000  0.5000  12 Nd 3.59-3.62

***

2.
A plane-wave DFT calculation with GGA-PBE was carried out for an optimized crystal structure of Ni2PCl.

Calculated values
Crystal system: tetragonal
ΔE to the lowest computed polymorph (meV/atom): 587.5
E_form (uncorrected) (kJ/mol of formula units): 103
Space-group type: I-4m2

Unit cell a=6.7704 b=6.7704 c=6.7704 alpha=152.55 beta=152.55 gamma=39.21
Last column: nearest neighbours and their distance in Å.
Fractional positions:
Cl  0.7500  0.2500  0.5000  4 Ni 2.27
Ni  0.2500  0.7500  0.5000  4 Cl 2.27
Ni  0.0000  0.0000  0.0000  4 P 2.27
P  0.5000  0.5000  0.0000  4 Ni 2.27

***

3.
A plane-wave DFT calculation with GGA-PBE was carried out for an optimized crystal structure of Er3In4AgTe8.

Calculated values
Crystal system: trigonal
E_form (uncorrected) (kJ/mol of formula units): -1124
Space-group type: R-3m

Unit cell a=8.7904 b=9.1775 c=8.7925 alpha=118.63 beta=119.99 gamma=90.00
Last column: nearest neighbours and their distance in Å.
Fractional positions:
In  0.0000  0.0000  0.0000  6 Te 3.29
In  0.5000  0.0000  0.0000  6 Te 3.23-3.24
In  0.5000  0.0000  0.5000  6 Te 3.29
In  0.0000  0.0000  0.5000  6 Te 3.29
Te  0.2463  0.7302  0.9839  2 Er 3.07, 1 Ag 3.12, 3 In 3.24-3.29
Te  0.2624  0.2698  0.0161  2 Er 3.07, 1 Ag 3.12, 3 In 3.24-3.29
Te  0.7376  0.7302  0.9839  2 Er 3.07, 1 Ag 3.12, 3 In 3.24-3.29
Te  0.7418  0.7254  0.4836  3 Er 3.07, 3 In 3.29
Te  0.7537  0.2698  0.0161  2 Er 3.07, 1 Ag 3.12, 3 In 3.24-3.29
Te  0.2582  0.2746  0.5164  3 Er 3.07, 3 In 3.29
Te  0.7532  0.2693  0.5063  2 Er 3.07, 1 Ag 3.13, 3 In 3.23-3.29
Te  0.2468  0.7307  0.4937  2 Er 3.07, 1 Ag 3.13, 3 In 3.23-3.29
Er  0.5000  0.5000  0.5000  6 Te 3.07
Er  0.0000  0.5000  0.5000  6 Te 3.07
Er  0.5000  0.5000  0.0000  6 Te 3.07
Ag  0.0000  0.5000  0.0000  6 Te 3.12-3.13

***

4.
A plane-wave DFT calculation with GGA-PBE was carried out for an optimized crystal structure of SrNbCrSe2.

Calculated values
Crystal system: tetragonal
E_form (uncorrected) (kJ/mol of formula units): 324
Space-group type: P4/mmm

Unit cell a=4.9868 b=5.2844 c=4.9868 alpha=90.00 beta=90.00 gamma=90.00
Last column: nearest neighbours and their distance in Å.
Fractional positions:
Cr  0.0000  0.0000  0.0000  4 Se 2.49, 2 Sr 2.64
Nb  0.5000  0.5000  0.5000  4 Sr 3.53, 8 Se 3.63
Se  0.0000  0.0000  0.5000  2 Cr 2.49
Se  0.5000  0.0000  0.0000  2 Cr 2.49
Sr  0.0000  0.5000  0.0000  2 Cr 2.64

***

5.
A plane-wave DFT calculation with GGA-PBE was carried out for an optimized crystal structure of CsU3Au4S12.

Calculated values
Crystal system: trigonal
E_form (uncorrected) (kJ/mol of formula units): -1259
Space-group type: R32

Unit cell a=8.8338 b=8.8338 c=8.8338 alpha=106.45 beta=106.45 gamma=106.45
Last column: nearest neighbours and their distance in Å.
Fractional positions:
Au  0.5000  0.9294  0.0706  3 S 2.35-2.43
Au  0.0706  0.5000  0.9294  3 S 2.35-2.43
Au  0.9294  0.0706  0.5000  3 S 2.35-2.43
Au  0.5000  0.5000  0.5000  3 S 2.39
S  0.9761  0.2713  0.3736  1 Au 2.35, 1 U 2.46
S  0.3315  0.6685  0.5000  1 Au 2.39, 2 U 2.64
S  0.5000  0.1012  0.8988  1 Au 2.43, 2 U 2.63
S  0.6264  0.7287  0.0239  1 Au 2.35, 1 U 2.46
S  0.7287  0.0239  0.6264  1 Au 2.35, 1 U 2.46
S  0.2713  0.3736  0.9761  1 Au 2.35, 1 U 2.46
S  0.1012  0.8988  0.5000  1 Au 2.43, 2 U 2.63
S  0.8988  0.5000  0.1012  1 Au 2.43, 2 U 2.63
S  0.3736  0.9761  0.2713  1 Au 2.35, 1 U 2.46
S  0.6685  0.5000  0.3315  1 Au 2.39, 2 U 2.64
S  0.5000  0.3315  0.6685  1 Au 2.39, 2 U 2.64
S  0.0239  0.6264  0.7287  1 Au 2.35, 1 U 2.46
Cs  0.0000  0.0000  0.0000  6 S 3.59
U  0.5681  0.4319  0.0000  6 S 2.46-2.64
U  0.0000  0.5681  0.4319  6 S 2.46-2.64
U  0.4319  0.0000  0.5681  6 S 2.46-2.64

***

6.
A plane-wave DFT calculation with GGA-PBE was carried out for an optimized crystal structure of Mn3RhBr.

Calculated values
Crystal system: cubic
ΔE to the lowest computed polymorph (meV/atom): 0.0
E_form (uncorrected) (kJ/mol of formula units): 345
Space-group type: Pm-3m

Unit cell a=4.9025 b=4.9025 c=4.9025 alpha=90.00 beta=90.00 gamma=90.00
Last column: nearest neighbours and their distance in Å.
Fractional positions:
Rh  0.0000  0.0000  0.0000  6 Mn 2.45
Br  0.5000  0.5000  0.5000  12 Mn 3.47
Mn  0.0000  0.5000  0.0000  2 Rh 2.45
Mn  0.0000  0.0000  0.5000  2 Rh 2.45
Mn  0.5000  0.0000  0.0000  2 Rh 2.45

***

7.
A plane-wave DFT calculation with GGA-PBE was carried out for an optimized crystal structure of AcYHoTm.

Calculated values
Crystal system: cubic
ΔE to the lowest computed polymorph (meV/atom): 66.7
Energy of formation from the pure elements (eV per atom): 0.137
Space-group type: F-43m

Unit cell a=5.8063 b=5.8063 c=5.8063 alpha=60.00 beta=60.00 gamma=60.00
Last column: nearest neighbours and their distance in Å.
Fractional positions:
Tm  0.2500  0.2500  0.2500  4 Ho 3.56, 4 Y 3.56
Y  0.0000  0.0000  0.0000  4 Tm 3.56, 4 Ac 3.56
Ho  0.5000  0.5000  0.5000  4 Ac 3.56, 4 Tm 3.56
Ac  0.7500  0.7500  0.7500  4 Ho 3.56, 4 Y 3.56

***

Respective density values: 6.6, 4.6, 6.8, 4.9, 5.8, 4.9, 7.8 g/cm3.
Respective M_tot values: 0.0, 0.0, 0.0, 7.6, 0.0, 13.8, 0.0 μB/f.u..
Respective D(E_F) values: 1.180, 1.104, 0.247, 0.898, 0.750, 0.755, 1.592 states/eV/atom.